(1)
Material: BePbCl2
Method: DFT, GGA-PBE
State: relaxed

```
data_BePbCl2
_cell_length_a 5.657
_cell_length_b 3.167
_cell_length_c 5.669
_cell_angle_alpha 90.00
_cell_angle_beta 109.61
_cell_angle_gamma 90.00
_symmetry_space_group_name_H-M 'P 1 2/m 1'
_symmetry_Int_Tables_number 10
_symmetry_space_group_name_Hall '-P 2y'
loop_
_atom_site_label
_atom_site_fract_x
_atom_site_fract_y
_atom_site_fract_z
Be1 0.000 0.000 0.000
Pb1 0.500 0.000 0.500
Cl1 0.160 0.500 0.840
```

Output
E above lowest polymorph ... 1.265 eV/f.u.
Formation energy without anion corrections ... -0.43 eV per atom
E_tot ... -3.208 eV/atom

---

(2)
Material: BePbCl
Method: DFT, GGA-PBE
State: relaxed

```
data_BePbCl
_cell_length_a 3.2865
_cell_length_b 3.2865
_cell_length_c 7.5891
_cell_angle_alpha 90.00
_cell_angle_beta 90.00
_cell_angle_gamma 120.00
_symmetry_space_group_name_H-M 'P 3 m 1'
_symmetry_Int_Tables_number 156
_symmetry_space_group_name_Hall 'P 3 -2"'
loop_
_atom_site_label
_atom_site_fract_x
_atom_site_fract_y
_atom_site_fract_z
Be1 0.0000 0.0000 0.0000
Pb1 0.3333 0.6667 0.6936
Cl1 0.6667 0.3333 0.1508
```

Output
E above lowest polymorph ... 0.014 eV/f.u.
Formation energy without anion corrections ... -0.18 eV per atom
E_tot ... -3.275 eV/atom

---

(3)
Material: BePbCl2
Method: DFT, GGA-PBE
State: relaxed

```
data_BePbCl2
_cell_length_a 5.621
_cell_length_b 5.621
_cell_length_c 6.110
_cell_angle_alpha 90.00
_cell_angle_beta 90.00
_cell_angle_gamma 90.00
_symmetry_space_group_name_H-M 'I 4/m m m'
_symmetry_Int_Tables_number 139
_symmetry_space_group_name_Hall '-I 4 2'
loop_
_atom_site_label
_atom_site_fract_x
_atom_site_fract_y
_atom_site_fract_z
Be1 0.000 0.000 0.000
Pb1 0.000 0.000 0.500
Cl1 0.000 0.500 0.000
```

Output
E above lowest polymorph ... 2.691 eV/f.u.
Formation energy without anion corrections ... -0.07 eV per atom
E_tot ... -2.852 eV/atom

---

(4)
Material: BePb2Cl
Method: DFT, GGA-PBE
State: relaxed

```
data_BePb2Cl
_cell_length_a 3.478
_cell_length_b 4.710
_cell_length_c 6.416
_cell_angle_alpha 90.00
_cell_angle_beta 90.00
_cell_angle_gamma 90.00
_symmetry_space_group_name_H-M 'P m m m'
_symmetry_Int_Tables_number 47
_symmetry_space_group_name_Hall '-P 2 2'
loop_
_atom_site_label
_atom_site_fract_x
_atom_site_fract_y
_atom_site_fract_z
Be1 0.000 0.000 0.000
Pb1 0.000 0.500 0.500
Pb2 0.500 0.500 0.000
Cl1 0.500 0.000 0.500
```

Output
E above lowest polymorph ... 1.349 eV/f.u.
Formation energy without anion corrections ... 0.24 eV per atom
E_tot ... -3.010 eV/atom

---

(5)
Material: BePbCl2
Method: DFT, GGA-PBE
State: relaxed

```
data_BePbCl2
_cell_length_a 3.6832
_cell_length_b 3.6832
_cell_length_c 25.3896
_cell_angle_alpha 90.00
_cell_angle_beta 90.00
_cell_angle_gamma 120.00
_symmetry_space_group_name_H-M 'R 3 m'
_symmetry_Int_Tables_number 160
_symmetry_space_group_name_Hall 'R 3 -2"'
loop_
_atom_site_label
_atom_site_fract_x
_atom_site_fract_y
_atom_site_fract_z
Be1 0.0000 0.0000 0.0000
Pb1 0.0000 0.0000 0.7525
Cl1 0.0000 0.0000 0.2946
Cl2 0.0000 0.0000 0.4959
```

Output
E above lowest polymorph ... 1.508 eV/f.u.
Formation energy without anion corrections ... -0.37 eV per atom
E_tot ... -3.147 eV/atom

---

(6)
Material: BePbCl2
Method: DFT, GGA-PBE
State: relaxed

```
data_BePbCl2
_cell_length_a 3.658
_cell_length_b 4.423
_cell_length_c 5.778
_cell_angle_alpha 90.00
_cell_angle_beta 90.00
_cell_angle_gamma 90.00
_symmetry_space_group_name_H-M 'P m m m'
_symmetry_Int_Tables_number 47
_symmetry_space_group_name_Hall '-P 2 2'
loop_
_atom_site_label
_atom_site_fract_x
_atom_site_fract_y
_atom_site_fract_z
Be1 0.000 0.000 0.000
Pb1 0.500 0.000 0.500
Cl1 0.000 0.500 0.500
Cl2 0.500 0.500 0.000
```

Output
E above lowest polymorph ... 3.163 eV/f.u.
Formation energy without anion corrections ... 0.05 eV per atom
E_tot ... -2.733 eV/atom

---

(7)
Material: BePb2Cl
Method: DFT, GGA-PBE
State: relaxed

```
data_BePb2Cl
_cell_length_a 3.281
_cell_length_b 6.437
_cell_length_c 10.449
_cell_angle_alpha 90.00
_cell_angle_beta 90.00
_cell_angle_gamma 90.00
_symmetry_space_group_name_H-M 'C m m 2'
_symmetry_Int_Tables_number 35
_symmetry_space_group_name_Hall 'C 2 -2'
loop_
_atom_site_label
_atom_site_fract_x
_atom_site_fract_y
_atom_site_fract_z
Be1 0.000 0.000 0.000
Pb1 0.000 0.000 0.496
Pb2 0.000 0.500 0.212
Cl1 0.000 0.500 0.877
```

Output
E above lowest polymorph ... 0.080 eV/f.u.
Formation energy without anion corrections ... -0.08 eV per atom
E_tot ... -3.327 eV/atom

---

(8)
Material: BePbCl2
Method: DFT, GGA-PBE
State: relaxed

```
data_BePbCl2
_cell_length_a 7.265
_cell_length_b 7.265
_cell_length_c 7.265
_cell_angle_alpha 90.00
_cell_angle_beta 90.00
_cell_angle_gamma 90.00
_symmetry_space_group_name_H-M 'F m -3 m'
_symmetry_Int_Tables_number 225
_symmetry_space_group_name_Hall '-F 4 2 3'
loop_
_atom_site_label
_atom_site_fract_x
_atom_site_fract_y
_atom_site_fract_z
Be1 0.000 0.000 0.000
Pb1 0.000 0.000 0.500
Cl1 0.250 0.250 0.250
```

Output
E above lowest polymorph ... 3.250 eV/f.u.
Formation energy without anion corrections ... 0.07 eV per atom
E_tot ... -2.712 eV/atom

---

(9)
Material: BePb2Cl
Method: DFT, GGA-PBE
State: relaxed

```
data_BePb2Cl
_cell_length_a 3.4495
_cell_length_b 3.4495
_cell_length_c 30.2555
_cell_angle_alpha 90.00
_cell_angle_beta 90.00
_cell_angle_gamma 120.00
_symmetry_space_group_name_H-M 'R 3 m'
_symmetry_Int_Tables_number 160
_symmetry_space_group_name_Hall 'R 3 -2"'
loop_
_atom_site_label
_atom_site_fract_x
_atom_site_fract_y
_atom_site_fract_z
Be1 0.0000 0.0000 0.0000
Pb1 0.0000 0.0000 0.4950
Pb2 0.0000 0.0000 0.7352
Cl1 0.0000 0.0000 0.2963
```

Output
E above lowest polymorph ... 0.000 eV/f.u.
Formation energy without anion corrections ... -0.10 eV per atom
E_tot ... -3.347 eV/atom

---

(10)
Material: Be2PbCl
Method: DFT, GGA-PBE
State: relaxed

```
data_Be2PbCl
_cell_length_a 3.207
_cell_length_b 3.207
_cell_length_c 7.501
_cell_angle_alpha 90.00
_cell_angle_beta 90.00
_cell_angle_gamma 90.00
_symmetry_space_group_name_H-M 'P 4 m m'
_symmetry_Int_Tables_number 99
_symmetry_space_group_name_Hall 'P 4 -2'
loop_
_atom_site_label
_atom_site_fract_x
_atom_site_fract_y
_atom_site_fract_z
Be1 0.000 0.000 0.000
Be2 0.500 0.500 0.022
Pb1 0.500 0.500 0.664
Cl1 0.000 0.000 0.269
```

Output
E above lowest polymorph ... 0.538 eV/f.u.
Formation energy without anion corrections ... 0.31 eV per atom
E_tot ... -2.940 eV/atom

---

(11)
Material: BePbCl2
Method: DFT, GGA-PBE
State: relaxed

```
data_BePbCl2
_cell_length_a 6.478
_cell_length_b 7.032
_cell_length_c 4.132
_cell_angle_alpha 90.00
_cell_angle_beta 90.00
_cell_angle_gamma 90.00
_symmetry_space_group_name_H-M 'C m m m'
_symmetry_Int_Tables_number 65
_symmetry_space_group_name_Hall '-C 2 2'
loop_
_atom_site_label
_atom_site_fract_x
_atom_site_fract_y
_atom_site_fract_z
Be1 0.000 0.000 0.000
Pb1 0.000 0.500 0.000
Cl1 0.250 0.250 0.500
```

Output
E above lowest polymorph ... 3.331 eV/f.u.
Formation energy without anion corrections ... 0.09 eV per atom
E_tot ... -2.691 eV/atom

---

(12)
Material: Be2PbCl
Method: DFT, GGA-PBE
State: relaxed

```
data_Be2PbCl
_cell_length_a 10.621
_cell_length_b 3.068
_cell_length_c 7.453
_cell_angle_alpha 90.00
_cell_angle_beta 132.90
_cell_angle_gamma 90.00
_symmetry_space_group_name_H-M 'C 1 2/m 1'
_symmetry_Int_Tables_number 12
_symmetry_space_group_name_Hall '-C 2y'
loop_
_atom_site_label
_atom_site_fract_x
_atom_site_fract_y
_atom_site_fract_z
Be1 0.156 0.000 0.365
Pb1 0.000 0.500 0.500
Cl1 0.000 0.000 0.000
```

Output
E above lowest polymorph ... 0.000 eV/f.u.
Formation energy without anion corrections ... 0.18 eV per atom
E_tot ... -3.075 eV/atom

---

(13)
Material: BePbCl2
Method: DFT, GGA-PBE
State: relaxed

```
data_BePbCl2
_cell_length_a 3.251
_cell_length_b 5.330
_cell_length_c 14.067
_cell_angle_alpha 90.00
_cell_angle_beta 90.00
_cell_angle_gamma 90.00
_symmetry_space_group_name_H-M 'I m m 2'
_symmetry_Int_Tables_number 44
_symmetry_space_group_name_Hall 'I 2 -2'
loop_
_atom_site_label
_atom_site_fract_x
_atom_site_fract_y
_atom_site_fract_z
Be1 0.000 0.000 0.000
Pb1 0.000 0.500 0.336
Cl1 0.000 0.000 0.406
Cl2 0.000 0.500 0.588
```

Output
E above lowest polymorph ... 0.984 eV/f.u.
Formation energy without anion corrections ... -0.50 eV per atom
E_tot ... -3.278 eV/atom

---

(14)
Material: BePbCl2
Method: DFT, GGA-PBE
State: relaxed

```
data_BePbCl2
_cell_length_a 3.086
_cell_length_b 6.549
_cell_length_c 12.205
_cell_angle_alpha 90.00
_cell_angle_beta 90.00
_cell_angle_gamma 90.00
_symmetry_space_group_name_H-M 'C m m m'
_symmetry_Int_Tables_number 65
_symmetry_space_group_name_Hall '-C 2 2'
loop_
_atom_site_label
_atom_site_fract_x
_atom_site_fract_y
_atom_site_fract_z
Be1 0.000 0.000 0.000
Pb1 0.000 0.000 0.500
Cl1 0.000 0.500 0.119
```

Output
E above lowest polymorph ... 0.483 eV/f.u.
Formation energy without anion corrections ... -0.62 eV per atom
E_tot ... -3.404 eV/atom